No. 1
This record from Alexandria describes a relaxed structure of GaCoSb3. The functional is GGA-PBE.

```
data_GaCoSb3
_chemical_formula_sum 'Ga1 Co1 Sb3'
_cell_length_a 4.989
_cell_length_b 4.989
_cell_length_c 4.989
_cell_angle_alpha 90.00
_cell_angle_beta 90.00
_cell_angle_gamma 90.00
_symmetry_space_group_name_H-M 'P 1'
_symmetry_Int_Tables_number 1
loop_
_symmetry_equiv_pos_as_xyz
'x,y,z'
loop_
_atom_site_label
_atom_site_type_symbol
_atom_site_fract_x
_atom_site_fract_y
_atom_site_fract_z
Ga1 Ga 0.000 0.000 0.000
Co1 Co 0.500 0.500 0.500
Sb1 Sb 0.000 0.500 0.500
Sb2 Sb 0.500 0.000 0.500
Sb3 Sb 0.500 0.500 0.000
```

Summary:
- Total moment: 0.00 μB/f.u.
- Crystal system: cubic
- Energy relative to the lowest polymorph listed for this composition: 0.00 eV per formula unit
- Uncorrected formation energy: 359 meV/atom

No. 2
This record from Alexandria describes a relaxed structure of MgZrPa2. The functional is GGA-PBE.

```
data_MgZrPa2
_chemical_formula_sum 'Mg1 Zr1 Pa2'
_cell_length_a 12.204
_cell_length_b 12.204
_cell_length_c 12.204
_cell_angle_alpha 14.65
_cell_angle_beta 14.65
_cell_angle_gamma 14.65
_symmetry_space_group_name_H-M 'P 1'
_symmetry_Int_Tables_number 1
loop_
_symmetry_equiv_pos_as_xyz
'x,y,z'
loop_
_atom_site_label
_atom_site_type_symbol
_atom_site_fract_x
_atom_site_fract_y
_atom_site_fract_z
Mg1 Mg 0.000 0.000 0.000
Zr1 Zr 0.500 0.500 0.500
Pa1 Pa 0.089 0.089 0.089
Pa2 Pa 0.911 0.911 0.911
```

Summary:
- Total moment: 0.00 μB/f.u.
- Crystal system: trigonal
- Energy relative to the lowest polymorph listed for this composition: 0.31 eV per formula unit

No. 3
This record from Alexandria describes a relaxed structure of BaLa4Zn. The functional is GGA-PBE.

```
data_BaLa4Zn
_chemical_formula_sum 'Ba1 La4 Zn1'
_cell_length_a 6.791
_cell_length_b 6.791
_cell_length_c 6.791
_cell_angle_alpha 60.00
_cell_angle_beta 60.00
_cell_angle_gamma 60.00
_symmetry_space_group_name_H-M 'P 1'
_symmetry_Int_Tables_number 1
loop_
_symmetry_equiv_pos_as_xyz
'x,y,z'
loop_
_atom_site_label
_atom_site_type_symbol
_atom_site_fract_x
_atom_site_fract_y
_atom_site_fract_z
Ba1 Ba 0.000 0.000 0.000
La1 La 0.138 0.621 0.621
La2 La 0.621 0.138 0.621
La3 La 0.621 0.621 0.138
La4 La 0.621 0.621 0.621
Zn1 Zn 0.250 0.250 0.250
```

Summary:
- Total moment: 0.00 μB/f.u.
- Crystal system: cubic

No. 4
This record from Alexandria describes a relaxed structure of Dy2Er4Mg5. The functional is GGA-PBE.

```
data_Dy2Er4Mg5
_chemical_formula_sum 'Dy2 Er4 Mg5'
_cell_length_a 12.155
_cell_length_b 11.509
_cell_length_c 5.844
_cell_angle_alpha 81.94
_cell_angle_beta 69.64
_cell_angle_gamma 28.43
_symmetry_space_group_name_H-M 'P 1'
_symmetry_Int_Tables_number 1
loop_
_symmetry_equiv_pos_as_xyz
'x,y,z'
loop_
_atom_site_label
_atom_site_type_symbol
_atom_site_fract_x
_atom_site_fract_y
_atom_site_fract_z
Dy1 Dy 0.148 0.148 0.852
Dy2 Dy 0.852 0.852 0.148
Er1 Er 0.206 0.540 0.460
Er2 Er 0.460 0.794 0.206
Er3 Er 0.540 0.206 0.794
Er4 Er 0.794 0.460 0.540
Mg1 Mg 0.000 0.000 0.500
Mg2 Mg 0.250 0.250 0.250
Mg3 Mg 0.500 0.500 0.000
Mg4 Mg 0.500 0.500 0.500
Mg5 Mg 0.750 0.750 0.750
```

Summary:
- Total moment: 0.00 μB/f.u.
- Crystal system: orthorhombic

No. 5
This record from Alexandria describes a relaxed structure of Nd4InAg2Au. The functional is GGA-PBE.

```
data_Nd4InAg2Au
_chemical_formula_sum 'Nd4 In1 Ag2 Au1'
_cell_length_a 9.254
_cell_length_b 9.254
_cell_length_c 9.254
_cell_angle_alpha 33.54
_cell_angle_beta 33.54
_cell_angle_gamma 33.54
_symmetry_space_group_name_H-M 'P 1'
_symmetry_Int_Tables_number 1
loop_
_symmetry_equiv_pos_as_xyz
'x,y,z'
loop_
_atom_site_label
_atom_site_type_symbol
_atom_site_fract_x
_atom_site_fract_y
_atom_site_fract_z
Nd1 Nd 0.119 0.119 0.119
Nd2 Nd 0.371 0.371 0.371
Nd3 Nd 0.629 0.629 0.629
Nd4 Nd 0.881 0.881 0.881
In1 In 0.500 0.500 0.500
Ag1 Ag 0.242 0.242 0.242
Ag2 Ag 0.758 0.758 0.758
Au1 Au 0.000 0.000 0.000
```

Summary:
- Total moment: 0.00 μB/f.u.
- Crystal system: trigonal

No. 6
This record from Alexandria describes a relaxed structure of AsOsRh2. The functional is GGA-PBE.

```
data_AsOsRh2
_chemical_formula_sum 'As1 Os1 Rh2'
_cell_length_a 4.729
_cell_length_b 4.729
_cell_length_c 2.786
_cell_angle_alpha 90.00
_cell_angle_beta 90.00
_cell_angle_gamma 110.20
_symmetry_space_group_name_H-M 'P 1'
_symmetry_Int_Tables_number 1
loop_
_symmetry_equiv_pos_as_xyz
'x,y,z'
loop_
_atom_site_label
_atom_site_type_symbol
_atom_site_fract_x
_atom_site_fract_y
_atom_site_fract_z
As1 As 0.000 0.000 0.000
Os1 Os 0.500 0.500 0.000
Rh1 Rh 0.000 0.500 0.500
Rh2 Rh 0.500 0.000 0.500
```

Summary:
- Total moment: 0.00 μB/f.u.
- Crystal system: orthorhombic

no.,VASP energy (eV/atom),volume (Å³ per atom)
1,-4.1414,24.8
2,-7.0324,25.3
3,-3.4793,36.9
4,-2.9745,30.8
5,-4.2986,26.9
6,-7.5143,14.6